# 1
A geometry-optimized MnCrP2 structure. Source: Alexandria, functional PBE.

M_tot in μB/f.u.: 0.0
Formation energy from the elements in kcal/mol of atoms: -0.79

Lattice parameters (Å, degrees): 2.7141 2.7141 7.1252 90.00 90.00 90.00
Closest atoms and distances in Å follow each position.
Space group P4mm (No. 99)
Asymmetric unit:
Mn 0.0000 0.0000 0.0000 (multiplicity 1)  4 P 2.33, 4 Cr 2.47
Cr 0.5000 0.5000 0.7810 (multiplicity 1)  4 P 2.45, 4 Mn 2.47, 4 Cr 2.71
P 0.0000 0.0000 0.5671 (multiplicity 1)  4 Cr 2.45, 4 P 2.71
P 0.5000 0.5000 0.1855 (multiplicity 1)  4 Mn 2.33


# 2
A geometry-optimized MnCrP2 structure. Source: Alexandria, functional PBE.

M_tot in μB/f.u.: 2.8
Formation energy from the elements in kcal/mol of atoms: 5.60

Lattice parameters (Å, degrees): 5.7935 5.7935 5.7935 90.00 90.00 90.00
Closest atoms and distances in Å follow each position.
Space group F-43m (No. 216)
Asymmetric unit:
Mn 0.0000 0.0000 0.0000 (multiplicity 4)  4 Cr 2.51, 4 P 2.51
Cr 0.2500 0.2500 0.7500 (multiplicity 4)  4 Mn 2.51, 4 P 2.51
P 0.0000 0.0000 0.5000 (multiplicity 4)  4 Cr 2.51, 4 P 2.51
P 0.2500 0.2500 0.2500 (multiplicity 4)  4 Mn 2.51, 4 P 2.51


# 3
A geometry-optimized Mn3CrP structure. Source: Alexandria, functional PBE.

M_tot in μB/f.u.: 6.8
Formation energy from the elements in kcal/mol of atoms: 23.96

Lattice parameters (Å, degrees): 4.3522 4.3522 4.3522 90.00 90.00 90.00
Closest atoms and distances in Å follow each position.
Space group Pm-3m (No. 221)
Asymmetric unit:
Mn 0.0000 0.0000 0.5000 (multiplicity 3)  2 Cr 2.18
Cr 0.0000 0.0000 0.0000 (multiplicity 1)  6 Mn 2.18
P 0.5000 0.5000 0.5000 (multiplicity 1)  12 Mn 3.08


# 4
A geometry-optimized MnCr4P structure. Source: Alexandria, functional PBE.

M_tot in μB/f.u.: 2.3
Formation energy from the elements in kcal/mol of atoms: 7.18

Lattice parameters (Å, degrees): 6.6202 6.6202 6.6202 90.00 90.00 90.00
Closest atoms and distances in Å follow each position.
Space group F-43m (No. 216)
Asymmetric unit:
Mn 0.0000 0.0000 0.0000 (multiplicity 4)  12 Cr 2.75, 4 P 2.87
Cr 0.1242 0.1242 0.3758 (multiplicity 16)  6 Cr 2.33-2.35
P 0.2500 0.2500 0.7500 (multiplicity 4)  12 Cr 2.74, 4 Mn 2.87